1.
CdCu2Te: PBEsol geometry, meta-GGA SCAN.

The crystal system is monoclinic. Its energy above the most stable polymorph in this dataset is 0.000 eV/atom. The size of the total moment is 0.00 Bohr magnetons per cell. The value obtained for the density of states at the Fermi level is 0.28 states/eV per atom. As for the formation energy (no corrections): 221 meV per atom.

The space group is C2/m (No. 12) and the conventional cell measures 8.046, 3.187 and 5.829 Å, with angles of 90.00, 102.99 and 90.00 degrees. The inequivalent atoms are Cd at (0.000, 0.000, 0.000), Cu at (0.250, 0.000, 0.787) and Te at (0.000, 0.500, 0.500).

---

2.
CdCuTe: PBEsol geometry, meta-GGA SCAN.

The crystal system is cubic. Its energy above the most stable polymorph in this dataset is 0.105 eV/atom. The size of the total moment is 0.00 Bohr magnetons per cell. The value obtained for the density of states at the Fermi level is 0.41 states/eV per atom. As for the formation energy (no corrections): 329 meV per atom.

The space group is F-43m (No. 216) and the conventional cell measures 6.558, 6.558 and 6.558 Å, with angles of 90.00, 90.00 and 90.00 degrees. The inequivalent atoms are Cd at (0.000, 0.000, 0.000), Cu at (0.250, 0.250, 0.750) and Te at (0.250, 0.250, 0.250).

---

3.
CdCuTe2: PBEsol geometry, meta-GGA SCAN.

The crystal system is orthorhombic. The size of the total moment is 0.00 Bohr magnetons per cell. The value obtained for the density of states at the Fermi level is 0.63 states/eV per atom. As for the formation energy (no corrections): 97 meV per atom.

The space group is Imm2 (No. 44) and the conventional cell measures 3.691, 3.992 and 12.737 Å, with angles of 90.00, 90.00 and 90.00 degrees. The inequivalent atoms are Cd at (0.000, 0.000, 0.000), Cu at (0.000, 0.500, 0.738), Te at (0.000, 0.000, 0.392) and Te at (0.000, 0.500, 0.172).

---

4.
CdCuTe2: PBEsol geometry, meta-GGA SCAN.

The crystal system is cubic. The size of the total moment is 0.00 Bohr magnetons per cell. The value obtained for the density of states at the Fermi level is 0.58 states/eV per atom. As for the formation energy (no corrections): 461 meV per atom.

The space group is F-43m (No. 216) and the conventional cell measures 7.142, 7.142 and 7.142 Å, with angles of 90.00, 90.00 and 90.00 degrees. The inequivalent atoms are Cd at (0.000, 0.000, 0.000), Cu at (0.250, 0.250, 0.250), Te at (0.000, 0.000, 0.500) and Te at (0.250, 0.250, 0.750).

---

5.
CdCuTe2: PBEsol geometry, meta-GGA SCAN.

The crystal system is tetragonal. The size of the total moment is 0.00 Bohr magnetons per cell. The value obtained for the density of states at the Fermi level is 0.63 states/eV per atom. As for the formation energy (no corrections): -212 meV per atom.

The space group is I-42d (No. 122) and the conventional cell measures 6.172, 6.172 and 12.050 Å, with angles of 90.00, 90.00 and 90.00 degrees. The inequivalent atoms are Cd at (0.000, 0.000, 0.000), Cu at (0.000, 0.000, 0.500) and Te at (0.211, 0.250, 0.625).

---

6.
CdCuTe: PBEsol geometry, meta-GGA SCAN.

The crystal system is orthorhombic. Its energy above the most stable polymorph in this dataset is 0.000 eV/atom. The size of the total moment is 0.00 Bohr magnetons per cell. The value obtained for the density of states at the Fermi level is 0.37 states/eV per atom. As for the formation energy (no corrections): 224 meV per atom.

The space group is Imm2 (No. 44) and the conventional cell measures 2.868, 3.675 and 12.025 Å, with angles of 90.00, 90.00 and 90.00 degrees. The inequivalent atoms are Cd at (0.000, 0.000, 0.000), Cu at (0.000, 0.000, 0.630) and Te at (0.000, 0.000, 0.272).

---

7.
TiCd2Cu: PBEsol geometry, meta-GGA SCAN.

The crystal system is cubic. For the energy of formation from the pure elements, the calculation gives 93 meV/atom. The size of the total moment is 0.00 Bohr magnetons per cell. The value obtained for the density of states at the Fermi level is 0.53 states/eV per atom.

The space group is Fm-3m (No. 225) and the conventional cell measures 6.424, 6.424 and 6.424 Å, with angles of 90.00, 90.00 and 90.00 degrees. The inequivalent atoms are Ti at (0.000, 0.000, 0.000), Cd at (0.250, 0.250, 0.250) and Cu at (0.000, 0.000, 0.500).

---

8.
TiCd3Cu: PBEsol geometry, meta-GGA SCAN.

The crystal system is cubic. For the energy of formation from the pure elements, the calculation gives 486 meV/atom. The size of the total moment is 2.09 Bohr magnetons per cell. The value obtained for the density of states at the Fermi level is 0.41 states/eV per atom.

The space group is Pm-3m (No. 221) and the conventional cell measures 4.750, 4.750 and 4.750 Å, with angles of 90.00, 90.00 and 90.00 degrees. The inequivalent atoms are Ti at (0.000, 0.000, 0.000), Cd at (0.000, 0.500, 0.500) and Cu at (0.500, 0.500, 0.500).